# 1
Density functional theory data (PBE) for an optimized crystal structure of BeFeNiSn.

Summary:
* uncorrected energy: -5.24 eV per atom
* magnetization: 2.487 Bohr magnetons per cell

Lattice parameters (Å, degrees): 4.183 4.183 4.183 60.00 60.00 60.00
Atoms (fractional coordinates):
Ni1 0.750 0.750 0.750
Be1 0.250 0.250 0.250
Fe1 0.500 0.500 0.500
Sn1 0.000 0.000 0.000



# 2
Density functional theory data (PBE) for an optimized crystal structure of BeTlFeNi.

Summary:
* uncorrected energy: -4.59 eV per atom
* magnetization: 2.916 Bohr magnetons per cell

Lattice parameters (Å, degrees): 4.238 4.238 4.238 60.00 60.00 60.00
Atoms (fractional coordinates):
Ni1 0.750 0.750 0.750
Tl1 0.000 0.000 0.000
Fe1 0.500 0.500 0.500
Be1 0.250 0.250 0.250



# 3
Density functional theory data (PBE) for an optimized crystal structure of BeTlFeNi.

Summary:
* uncorrected energy: -4.57 eV per atom
* magnetization: 2.129 Bohr magnetons per cell

Lattice parameters (Å, degrees): 4.243 4.243 4.243 60.00 60.00 60.00
Atoms (fractional coordinates):
Tl1 0.000 0.000 0.000
Ni1 0.250 0.250 0.250
Be1 0.500 0.500 0.500
Fe1 0.750 0.750 0.750



- Which of these has the highest uncorrected energy?
  number 3



- The highest magnetization belongs to which entry?
  number 2